Entry 1:
BeSbPb3: optimized geometry, PBE.

Properties
Offset from the most stable computed form, eV/atom: 0.8050
Total energy, eV per atom: -2.68
N(E_F), states/eV per atom: 0.963
Symmetry: No. 221

Cell: 5.949 5.949 5.949 Å, 90.00 90.00 90.00°
Fractional coordinates of all 5 atoms:
Be (0.000, 0.000, 0.000)
Sb (0.500, 0.500, 0.500)
Pb (0.000, 0.500, 0.500)
Pb (0.500, 0.000, 0.500)
Pb (0.500, 0.500, 0.000)

***

Entry 2:
BeSbPb2: optimized geometry, PBE.

Properties
Offset from the most stable computed form, eV/atom: 0.1270
Total energy, eV per atom: -3.48
N(E_F), states/eV per atom: 0.440
Symmetry: No. 99

Cell: 3.640 3.640 8.195 Å, 90.00 90.00 90.00°
Fractional coordinates of all 4 atoms:
Be (0.000, 0.000, 0.000)
Sb (0.500, 0.500, 0.003)
Pb (0.000, 0.000, 0.666)
Pb (0.500, 0.500, 0.387)

***

Entry 3:
BeSbPb2: optimized geometry, PBE.

Properties
Offset from the most stable computed form, eV/atom: 0.2262
Total energy, eV per atom: -3.38
N(E_F), states/eV per atom: 0.386
Symmetry: No. 123

Cell: 3.305 3.305 9.299 Å, 90.00 90.00 90.00°
Fractional coordinates of all 4 atoms:
Be (0.000, 0.000, 0.000)
Sb (0.000, 0.000, 0.500)
Pb (0.500, 0.500, 0.195)
Pb (0.500, 0.500, 0.805)

***

Entry 4:
BeSbPb2: optimized geometry, PBE.

Properties
Offset from the most stable computed form, eV/atom: 0.0576
Total energy, eV per atom: -3.55
N(E_F), states/eV per atom: 0.245
Symmetry: No. 6

Cell: 4.529 3.930 6.337 Å, 90.00 110.10 90.00°
Fractional coordinates of all 4 atoms:
Be (0.000, 0.000, 0.000)
Sb (0.123, 0.500, 0.255)
Pb (0.426, 0.500, 0.853)
Pb (0.760, 0.000, 0.525)

***

Entry 5:
BeSb2Pb: optimized geometry, PBE.

Properties
Offset from the most stable computed form, eV/atom: 0.4865
Total energy, eV per atom: -3.31
N(E_F), states/eV per atom: 0.491
Symmetry: No. 12

Cell: 5.795 5.795 3.345 Å, 98.29 98.29 110.07°
Fractional coordinates of all 4 atoms:
Be (0.000, 0.000, 0.000)
Sb (0.000, 0.500, 0.500)
Sb (0.500, 0.000, 0.500)
Pb (0.500, 0.500, 0.000)

***

Entry 6:
BeSbPb2: optimized geometry, PBE.

Properties
Offset from the most stable computed form, eV/atom: 0.3370
Total energy, eV per atom: -3.27
N(E_F), states/eV per atom: 0.462
Symmetry: No. 119

Cell: 6.014 6.014 6.014 Å, 135.36 135.36 64.96°
Fractional coordinates of all 4 atoms:
Be (0.000, 0.000, 0.000)
Sb (0.750, 0.250, 0.500)
Pb (0.250, 0.750, 0.500)
Pb (0.500, 0.500, 0.000)

***

Entry 7:
BeSb2Pb: optimized geometry, PBE.

Properties
Offset from the most stable computed form, eV/atom: 0.4675
Total energy, eV per atom: -3.33
N(E_F), states/eV per atom: 0.586
Symmetry: No. 225

Cell: 5.215 5.215 5.215 Å, 60.00 60.00 60.00°
Fractional coordinates of all 4 atoms:
Be (0.000, 0.000, 0.000)
Sb (0.250, 0.250, 0.250)
Sb (0.750, 0.750, 0.750)
Pb (0.500, 0.500, 0.500)

***

Entry 8:
BeSb2Pb: optimized geometry, PBE.

Properties
Offset from the most stable computed form, eV/atom: 0.2759
Total energy, eV per atom: -3.52
N(E_F), states/eV per atom: 0.382
Symmetry: No. 35

Cell: 3.265 3.265 9.577 Å, 90.00 90.00 104.76°
Fractional coordinates of all 4 atoms:
Be (0.000, 0.000, 0.000)
Sb (0.000, 0.000, 0.496)
Sb (0.500, 0.500, 0.171)
Pb (0.500, 0.500, 0.787)

***

Entry 9:
BeSbPb2: optimized geometry, PBE.

Properties
Offset from the most stable computed form, eV/atom: 0.3501
Total energy, eV per atom: -3.26
N(E_F), states/eV per atom: 0.523
Symmetry: No. 65

Cell: 5.755 5.755 3.361 Å, 90.00 90.00 106.29°
Fractional coordinates of all 4 atoms:
Be (0.000, 0.000, 0.000)
Sb (0.500, 0.500, 0.000)
Pb (0.000, 0.500, 0.500)
Pb (0.500, 0.000, 0.500)

***

Entry 10:
BeSbPb2: optimized geometry, PBE.

Properties
Offset from the most stable computed form, eV/atom: 0.0000
Total energy, eV per atom: -3.61
N(E_F), states/eV per atom: 0.443
Symmetry: No. 8

Cell: 3.951 3.951 8.158 Å, 103.75 103.75 60.07°
Fractional coordinates of all 4 atoms:
Be (0.000, 0.000, 0.000)
Sb (0.298, 0.298, 0.889)
Pb (0.515, 0.515, 0.574)
Pb (0.745, 0.745, 0.234)

***

Entry 11:
Y2BeSbPb: optimized geometry, PBE.

Properties
Total energy, eV per atom: -5.07
N(E_F), states/eV per atom: 0.919
Symmetry: No. 123

Cell: 5.328 5.328 4.537 Å, 90.00 90.00 90.00°
Fractional coordinates of all 5 atoms:
Y (0.000, 0.500, 0.000)
Y (0.500, 0.000, 0.000)
Be (0.000, 0.000, 0.000)
Sb (0.500, 0.500, 0.500)
Pb (0.000, 0.000, 0.500)

***

Entry 12:
ScBe2Pb: optimized geometry, PBE.

Properties
ΔH_f (0 K), eV per atom: 0.119
Total energy, eV per atom: -4.25
N(E_F), states/eV per atom: 0.431
Symmetry: No. 6

Cell: 3.857 3.831 4.807 Å, 90.00 108.57 90.00°
Fractional coordinates of all 4 atoms:
Sc (0.000, 0.000, 0.000)
Be (0.343, 0.000, 0.609)
Be (0.438, 0.500, 0.841)
Pb (0.755, 0.500, 0.428)